## K2MoPdO4 (PBE+U)

Data for K2MoPdO4 after structural relaxation.

```
8
Lattice="-3.207 3.207 3.561 3.207 -3.207 3.561 3.207 3.207 -3.561" Properties=species:S:1:pos:R:3 pbc="T T T"
K 0.000 0.000 0.000
K 0.000 3.207 1.780
Mo 3.207 0.000 1.780
Pd 0.000 0.000 3.561
O 1.146 2.294 -0.684
O 4.120 1.146 0.684
O 2.061 0.913 2.877
O -0.913 2.061 4.244
```

Summary:
E: -5.593 eV/atom
Space group: I-4

=====

## KMoPdO4 (PBE+U)

Data for KMoPdO4 after structural relaxation.

```
14
Lattice="3.458 -5.174 0.000 3.458 5.174 0.000 0.000 0.000 7.096" Properties=species:S:1:pos:R:3 pbc="T T T"
K 0.000 0.000 0.000
K 0.000 0.000 3.548
Mo 3.458 1.321 5.322
Mo 3.458 -1.321 1.774
Pd 3.458 2.149 1.774
Pd 3.458 -2.149 5.322
O 2.008 0.269 5.322
O 3.458 2.360 3.826
O 3.458 2.360 6.818
O 2.008 -0.269 1.774
O 4.908 0.269 5.322
O 3.458 -2.360 0.278
O 3.458 -2.360 3.270
O 4.908 -0.269 1.774
```

Summary:
E: -6.004 eV/atom
Space group: Cmcm

=====

## K3Pm2MoO6 (PBE+U)

Data for K3Pm2MoO6 after structural relaxation.

```
12
Lattice="3.036 -5.257 0.000 3.036 5.257 0.000 -2.012 0.000 6.253" Properties=species:S:1:pos:R:3 pbc="T T T"
K 0.000 0.000 0.000
K 3.036 1.699 0.000
K 3.036 -1.699 0.000
Pm 2.029 3.502 3.127
Pm 2.029 -3.502 3.127
Mo 2.029 0.000 3.127
O 1.066 1.667 1.948
O 0.103 0.000 4.299
O 1.066 -1.667 1.948
O 2.993 1.667 4.305
O 3.956 0.000 1.954
O 2.993 -1.667 4.305
```

Summary:
E: -6.421 eV/atom
Space group: C2/m

=====

## K3PmMo2O8 (PBE+U)

Data for K3PmMo2O8 after structural relaxation.

```
14
Lattice="6.225 0.000 0.000 -3.113 5.391 0.000 0.000 0.000 7.810" Properties=species:S:1:pos:R:3 pbc="T T T"
K 0.000 0.000 0.000
K 0.000 3.594 5.196
K 3.113 1.797 2.614
Pm 0.000 0.000 3.905
Mo 0.000 3.594 1.728
Mo 3.113 1.797 6.081
O 0.000 1.869 2.499
O -1.494 4.457 2.499
O 0.000 3.594 7.738
O 1.619 0.935 5.311
O 1.494 4.457 2.499
O 3.113 1.797 0.071
O 4.607 0.935 5.311
O 3.113 3.522 5.311
```

Summary:
E: -6.401 eV/atom
Space group: P-3m1

=====

## K2PmMoO4 (PBE+U)

Data for K2PmMoO4 after structural relaxation.

```
8
Lattice="5.928 0.000 0.000 0.000 3.491 0.000 -2.024 0.000 6.219" Properties=species:S:1:pos:R:3 pbc="T T T"
K 0.000 0.000 0.000
K 2.964 1.746 0.000
Pm -1.012 1.746 3.109
Mo 1.952 0.000 3.109
O 0.048 0.000 4.294
O 1.073 1.746 1.971
O 2.831 1.746 4.248
O 3.855 0.000 1.924
```

Summary:
E: -6.339 eV/atom
Space group: P2/m

=====

## K3Pm3MoO8 (PBE+U)

Data for K3Pm3MoO8 after structural relaxation.

```
15
Lattice="6.107 -3.493 0.000 6.107 3.493 0.000 -4.037 0.000 6.311" Properties=species:S:1:pos:R:3 pbc="T T T"
K 0.000 0.000 0.000
K 3.053 1.747 0.000
K 3.053 -1.747 0.000
Pm 1.035 1.747 3.156
Pm 1.035 -1.747 3.156
Pm 4.088 0.000 3.156
Mo -2.018 0.000 3.156
O 3.182 1.936 4.249
O -0.123 0.000 4.273
O 4.994 1.936 2.062
O 2.063 0.000 1.967
O 6.113 0.000 4.344
O 3.182 -1.936 4.249
O 8.299 0.000 2.038
O 4.994 -1.936 2.062
```

Summary:
E: -6.757 eV/atom
Space group: C2/m